PBE Cs2Cu2Te4Mo, optimized geometry; symmetry = C222, No. 21; E = -4.013 eV per atom
1.0
-1.042 2.684 7.731
-5.004 -1.525 -6.379
-0.698 -5.942 1.968
Te Mo Cu Cs
4 1 2 2
Direct
0.847 0.658 0.247
0.153 0.342 0.247
0.342 0.153 0.753
0.658 0.847 0.753
0.000 0.000 0.000
0.000 0.000 0.500
0.500 0.500 0.000
0.500 0.000 0.252
0.000 0.500 0.748



PBE LiGdGe, optimized geometry; symmetry = F-43m, No. 216; distance to the lowest polymorph of the same formula = 0.6389 eV/atom
1.0
-0.953 -4.579 0.854
-3.641 -1.185 2.819
-3.890 -2.006 -1.858
Li Gd Ge
1 1 1
Direct
0.750 0.750 0.750
0.000 0.000 0.000
0.250 0.250 0.250



PBE Nd4O5, optimized geometry; symmetry = P4/mmm, No. 123; E = -7.276 eV per atom
1.0
-7.206 0.480 -1.018
-0.040 -4.231 -1.712
-0.703 -1.686 4.183
O Nd
5 4
Direct
0.221 0.000 0.500
0.221 0.500 0.000
0.779 0.500 0.000
0.779 0.000 0.500
0.500 0.500 0.500
0.000 0.000 0.000
0.790 0.500 0.500
0.500 0.000 0.000
0.210 0.500 0.500



PBE CoH2, optimized geometry; symmetry = Fd-3m, No. 227; E = -3.840 eV per atom
1.0
0.000 3.464 3.464
3.464 0.000 3.464
3.464 3.464 0.000
H Co
4 2
Direct
0.125 0.125 0.625
0.125 0.625 0.125
0.125 0.125 0.125
0.625 0.125 0.125
0.000 0.000 0.000
0.250 0.250 0.250



PBE TbInAu6, optimized geometry; symmetry = Pmm2, No. 25; E = -3.766 eV per atom
1.0
5.056 0.000 0.000
0.000 5.961 0.000
0.000 0.000 5.207
In Au Tb
1 6 1
Direct
0.500 0.000 0.155
0.000 0.000 0.838
0.500 0.750 0.661
0.000 0.243 0.340
0.000 0.757 0.340
0.500 0.500 0.166
0.500 0.250 0.661
0.000 0.500 0.841



PBE ReCl, optimized geometry; symmetry = F-43m, No. 216; distance to the lowest polymorph of the same formula = 0.4386 eV/atom
1.0
0.000 2.635 2.635
2.635 0.000 2.635
2.635 2.635 0.000
Cl Re
1 1
Direct
0.000 0.000 0.000
0.250 0.250 0.250



Number 1: ρ 5482 kg/m³. Number 2: ρ 5173 kg/m³. Number 3: ρ 7179 kg/m³. Number 4: ρ 2435 kg/m³. Number 5: ρ 15403 kg/m³. Number 6: ρ 10057 kg/m³.